# HfGeRh3 PBE relaxed
data_HfGeRh3
_symmetry_space_group_name_H-M 'P 1'
_symmetry_Int_Tables_number 1
_symmetry_space_group_name_Hall 'P 1'
_cell_length_a 4.7703
_cell_length_b 4.7703
_cell_length_c 4.7703
_cell_angle_alpha 90.00
_cell_angle_beta 90.00
_cell_angle_gamma 90.00
loop_
_atom_site_label
_atom_site_type_symbol
_atom_site_fract_x
_atom_site_fract_y
_atom_site_fract_z
Rh1 Rh 0.0000 0.5000 0.0000
Ge1 Ge 0.5000 0.5000 0.5000
Hf1 Hf 0.0000 0.0000 0.0000
Rh2 Rh 0.5000 0.0000 0.0000
Rh3 Rh 0.0000 0.0000 0.5000
# E above lowest polymorph: 1202 meV/atom
# raw total energy: -6.50 eV per atom
# total magnetization: 0.0 μB per formula unit
# energy of formation from the pure elements: 0.8227 eV per atom
# symmetry: Pm-3m

---

# HfGe3Rh PBE relaxed
data_HfGe3Rh
_symmetry_space_group_name_H-M 'P 1'
_symmetry_Int_Tables_number 1
_symmetry_space_group_name_Hall 'P 1'
_cell_length_a 4.7442
_cell_length_b 4.7442
_cell_length_c 4.7442
_cell_angle_alpha 90.00
_cell_angle_beta 90.00
_cell_angle_gamma 90.00
loop_
_atom_site_label
_atom_site_type_symbol
_atom_site_fract_x
_atom_site_fract_y
_atom_site_fract_z
Ge1 Ge 0.0000 0.5000 0.0000
Ge2 Ge 0.5000 0.0000 0.0000
Rh1 Rh 0.0000 0.0000 0.0000
Hf1 Hf 0.5000 0.5000 0.5000
Ge3 Ge 0.0000 0.0000 0.5000
# raw total energy: -5.79 eV per atom
# total magnetization: 0.0 μB per formula unit
# energy of formation from the pure elements: 0.4375 eV per atom
# symmetry: Pm-3m

---

# HfGeRh5 PBE relaxed
data_HfGeRh5
_symmetry_space_group_name_H-M 'P 1'
_symmetry_Int_Tables_number 1
_symmetry_space_group_name_Hall 'P 1'
_cell_length_a 4.0415
_cell_length_b 4.0415
_cell_length_c 6.7013
_cell_angle_alpha 90.00
_cell_angle_beta 90.00
_cell_angle_gamma 90.00
loop_
_atom_site_label
_atom_site_type_symbol
_atom_site_fract_x
_atom_site_fract_y
_atom_site_fract_z
Rh1 Rh 0.0000 0.5000 0.7837
Rh2 Rh 0.0000 0.5000 0.2163
Ge1 Ge 0.5000 0.5000 0.0000
Hf1 Hf 0.0000 0.0000 0.5000
Rh3 Rh 0.5000 0.0000 0.2163
Rh4 Rh 0.5000 0.5000 0.5000
Rh5 Rh 0.5000 0.0000 0.7837
# raw total energy: -7.88 eV per atom
# total magnetization: 0.0 μB per formula unit
# energy of formation from the pure elements: -0.5459 eV per atom
# symmetry: P4/mmm

---

# HfGeRuRh PBE relaxed
data_HfGeRuRh
_symmetry_space_group_name_H-M 'P 1'
_symmetry_Int_Tables_number 1
_symmetry_space_group_name_Hall 'P 1'
_cell_length_a 4.4530
_cell_length_b 4.4530
_cell_length_c 4.4530
_cell_angle_alpha 60.00
_cell_angle_beta 60.00
_cell_angle_gamma 60.00
loop_
_atom_site_label
_atom_site_type_symbol
_atom_site_fract_x
_atom_site_fract_y
_atom_site_fract_z
Ge1 Ge 0.2500 0.2500 0.2500
Hf1 Hf 0.7500 0.7500 0.7500
Ru1 Ru 0.0000 0.0000 0.0000
Rh1 Rh 0.5000 0.5000 0.5000
# E above lowest polymorph: 53 meV/atom
# raw total energy: -8.44 eV per atom
# total magnetization: 0.6 μB per formula unit
# energy of formation from the pure elements: -0.6432 eV per atom
# symmetry: F-43m

---

# HfGeRuRh PBE relaxed
data_HfGeRuRh
_symmetry_space_group_name_H-M 'P 1'
_symmetry_Int_Tables_number 1
_symmetry_space_group_name_Hall 'P 1'
_cell_length_a 4.2300
_cell_length_b 4.2301
_cell_length_c 4.5857
_cell_angle_alpha 117.47
_cell_angle_beta 117.47
_cell_angle_gamma 90.00
loop_
_atom_site_label
_atom_site_type_symbol
_atom_site_fract_x
_atom_site_fract_y
_atom_site_fract_z
Rh1 Rh 0.5000 0.5000 0.0000
Ge1 Ge 0.7500 0.2500 0.5000
Ru1 Ru 0.0000 0.0000 0.0000
Hf1 Hf 0.2500 0.7500 0.5000
# E above lowest polymorph: 0 meV/atom
# raw total energy: -8.50 eV per atom
# total magnetization: 0.0 μB per formula unit
# energy of formation from the pure elements: -0.6966 eV per atom
# symmetry: I-4m2

---

# HfSc2Ge2Rh5 PBE relaxed
data_HfSc2Ge2Rh5
_symmetry_space_group_name_H-M 'P 1'
_symmetry_Int_Tables_number 1
_symmetry_space_group_name_Hall 'P 1'
_cell_length_a 3.6350
_cell_length_b 9.5330
_cell_length_c 9.5330
_cell_angle_alpha 90.00
_cell_angle_beta 90.00
_cell_angle_gamma 90.00
loop_
_atom_site_label
_atom_site_type_symbol
_atom_site_fract_x
_atom_site_fract_y
_atom_site_fract_z
Ge1 Ge 0.0000 0.8734 0.3734
Hf1 Hf 0.0000 0.5000 0.5000
Rh1 Rh 0.5000 0.7930 0.9306
Sc1 Sc 0.0000 0.6714 0.1714
Rh2 Rh 0.5000 0.0694 0.7930
Rh3 Rh 0.5000 0.0000 0.5000
Sc2 Sc 0.0000 0.8286 0.6714
Rh4 Rh 0.5000 0.5000 0.0000
Rh5 Rh 0.5000 0.2930 0.5694
Rh6 Rh 0.5000 0.9306 0.2070
Sc3 Sc 0.0000 0.1714 0.3286
Rh7 Rh 0.5000 0.2070 0.0694
Sc4 Sc 0.0000 0.3286 0.8286
Hf2 Hf 0.0000 0.0000 0.0000
Ge2 Ge 0.0000 0.1266 0.6266
Rh8 Rh 0.5000 0.7070 0.4306
Rh9 Rh 0.5000 0.5694 0.7070
Ge3 Ge 0.0000 0.3734 0.1266
Ge4 Ge 0.0000 0.6266 0.8734
Rh10 Rh 0.5000 0.4306 0.2930
# raw total energy: -7.73 eV per atom
# total magnetization: 0.0 μB per formula unit
# energy of formation from the pure elements: -0.8692 eV per atom
# symmetry: P4/mbm